Record 1
Computed, not measured: a PBEsol-optimized structure of ScRe2Ir at the meta-GGA SCAN level of DFT.

Geometry as extended XYZ:
```
4
Lattice="3.039 0.000 0.000 0.000 4.359 0.000 0.000 0.000 4.610" Properties=species:S:1:pos:R:3 pbc="T T T"
Re 1.519 2.180 0.000
Re 0.000 0.000 0.000
Sc 1.519 0.000 2.305
Ir 0.000 2.180 2.305
```

## Properties
The energy of formation comes out at -23 kJ per mole of atoms. For the size of the total moment, the calculation gives 0.00 μB/f.u. As for the final energy: -228.48 eV per cell.


Record 2
Computed, not measured: a PBEsol-optimized structure of BaBeBSb2 at the meta-GGA SCAN level of DFT.

Geometry as extended XYZ:
```
5
Lattice="4.989 0.000 0.000 0.000 6.062 0.000 0.000 0.000 6.062" Properties=species:S:1:pos:R:3 pbc="T T T"
Ba 0.000 0.000 0.000
Sb 0.000 0.000 3.031
Sb 0.000 3.031 0.000
Be 2.495 3.031 3.031
B 2.495 0.000 0.000
```

## Properties
The calculation puts the formation energy (no corrections) at 2187 meV per atom. For the size of the total moment, the calculation gives 0.00 μB/f.u. As for the final energy: -114.92 eV per cell.


Record 3
Computed, not measured: a PBEsol-optimized structure of PS2NCl at the meta-GGA SCAN level of DFT.

Geometry as extended XYZ:
```
5
Lattice="-2.672 -3.509 -0.459 0.647 -1.050 4.259 -3.761 2.703 1.238" Properties=species:S:1:pos:R:3 pbc="T T T"
Cl -1.881 1.351 0.619
S 0.324 -0.525 2.130
S -1.336 -1.754 -0.229
N -2.893 -0.928 2.519
P 0.000 0.000 0.000
```

## Properties
The calculation puts the formation energy (no corrections) at 1304 meV per atom. For the size of the total moment, the calculation gives 2.61 μB/f.u. As for the final energy: -40.40 eV per cell.


Record 4
Computed, not measured: a PBEsol-optimized structure of CaZnOs3 at the meta-GGA SCAN level of DFT.

Geometry as extended XYZ:
```
5
Lattice="-1.307 -3.723 2.234 4.139 -1.773 -0.532 1.311 1.886 3.910" Properties=species:S:1:pos:R:3 pbc="T T T"
Os 0.655 0.943 1.955
Os 2.070 -0.886 -0.266
Os -0.654 -1.861 1.117
Ca 2.071 -1.805 2.806
Zn 0.000 0.000 0.000
```

## Properties
The energy of formation comes out at 158 kJ per mole of atoms. For the size of the total moment, the calculation gives 1.95 μB/f.u. As for the final energy: -230.62 eV per cell.


Record 5
Computed, not measured: a PBEsol-optimized structure of BaP2Au at the meta-GGA SCAN level of DFT.

Geometry as extended XYZ:
```
4
Lattice="-2.370 0.085 -4.418 1.964 -2.393 -3.945 -2.186 -4.158 -1.753" Properties=species:S:1:pos:R:3 pbc="T T T"
Au -1.296 -3.233 -5.058
Ba -0.648 -1.617 -2.529
P -1.943 -4.850 -7.587
P 0.000 0.000 0.000
```

## Properties
The energy of formation comes out at 17 kJ per mole of atoms. For the size of the total moment, the calculation gives 0.00 μB/f.u. As for the final energy: -128.80 eV per cell.


Record 6
Computed, not measured: a PBEsol-optimized structure of YCrAs2 at the meta-GGA SCAN level of DFT.

Geometry as extended XYZ:
```
4
Lattice="3.569 0.000 0.000 0.000 4.609 0.000 0.000 0.000 4.609" Properties=species:S:1:pos:R:3 pbc="T T T"
As 0.000 0.000 2.304
As 0.000 2.304 0.000
Cr 1.785 2.304 2.304
Y 1.785 0.000 0.000
```

## Properties
The energy of formation comes out at -62 kJ per mole of atoms. For the size of the total moment, the calculation gives 4.24 μB/f.u. As for the final energy: -89.17 eV per cell.


Record 7
Computed, not measured: a PBEsol-optimized structure of Sb4O5F2 at the meta-GGA SCAN level of DFT.

Geometry as extended XYZ:
```
44
Lattice="7.702 0.000 0.000 0.000 9.078 0.000 0.000 0.000 9.610" Properties=species:S:1:pos:R:3 pbc="T T T"
O 0.420 3.140 0.276
O 4.271 1.399 5.081
O 3.431 7.678 4.529
O 7.201 4.183 6.078
O 7.201 8.722 8.338
O 0.420 7.678 4.529
O 3.431 3.140 0.276
O 4.271 5.938 9.334
O 0.501 0.356 1.272
O 5.777 6.114 4.147
O 3.350 0.356 1.272
O 7.282 5.938 9.334
O 0.501 4.895 3.533
O 3.350 4.895 3.533
O 4.352 4.183 6.078
O 4.352 8.722 8.338
O 7.282 1.399 5.081
O 1.926 2.964 5.463
O 5.777 1.575 0.658
O 1.926 7.503 8.953
Sb 4.065 6.658 2.927
Sb 5.777 4.621 9.074
Sb 1.926 0.425 9.427
Sb 0.213 2.420 6.683
Sb 1.926 4.457 0.536
Sb 4.065 2.119 1.878
Sb 5.777 0.082 5.341
Sb 7.489 6.658 2.927
Sb 1.926 8.996 4.269
Sb 5.777 8.652 0.183
Sb 0.213 6.959 7.732
Sb 5.777 4.113 4.622
Sb 3.638 2.420 6.683
Sb 1.926 4.964 4.988
Sb 7.489 2.119 1.878
Sb 3.638 6.959 7.732
F 5.777 6.492 7.217
F 1.926 7.124 2.412
F 1.926 2.586 2.393
F 1.926 0.074 6.284
F 1.926 4.613 8.131
F 5.777 4.464 1.479
F 5.777 9.003 3.326
F 5.777 1.953 7.198
```

## Properties
The calculation puts the formation energy (no corrections) at -1615 meV per atom. For the size of the total moment, the calculation gives 0.00 μB/f.u. As for the final energy: -820.19 eV per cell.


Record 8
Computed, not measured: a PBEsol-optimized structure of LiGe2Pt at the meta-GGA SCAN level of DFT.

Geometry as extended XYZ:
```
4
Lattice="-1.944 3.198 -2.311 -1.529 -0.825 -4.041 -4.336 -0.136 -0.725" Properties=species:S:1:pos:R:3 pbc="T T T"
Li 0.000 0.000 0.000
Ge -1.952 0.559 -1.769
Ge -5.857 1.678 -5.307
Pt -3.905 1.119 -3.538
```

## Properties
The energy of formation comes out at -41 kJ per mole of atoms. For the size of the total moment, the calculation gives 0.00 μB/f.u. As for the final energy: -112.47 eV per cell.


Record 9
Computed, not measured: a PBEsol-optimized structure of Ni2POs at the meta-GGA SCAN level of DFT.

Geometry as extended XYZ:
```
4
Lattice="2.726 0.000 0.000 0.000 3.531 0.000 -1.363 0.000 4.911" Properties=species:S:1:pos:R:3 pbc="T T T"
Ni 0.000 1.766 4.401
Ni 0.000 0.000 0.776
Os 1.363 0.000 3.070
P 1.363 1.766 1.620
```

## Properties
The energy of formation comes out at -4 kJ per mole of atoms. For the size of the total moment, the calculation gives 0.00 μB/f.u. As for the final energy: -114.80 eV per cell.


Record 10
Computed, not measured: a PBEsol-optimized structure of HgPt2Se at the meta-GGA SCAN level of DFT.

Geometry as extended XYZ:
```
4
Lattice="2.846 0.093 0.000 -0.164 5.002 0.000 0.000 0.000 4.908" Properties=species:S:1:pos:R:3 pbc="T T T"
Se 2.064 2.216 0.000
Hg 0.578 4.130 2.454
Pt 2.083 1.653 2.454
Pt 1.981 4.737 0.000
```

## Properties
The calculation puts the formation energy (no corrections) at 79 meV per atom. For the size of the total moment, the calculation gives 0.00 μB/f.u. As for the final energy: -228.31 eV per cell.


Record 11
Computed, not measured: a PBEsol-optimized structure of KZn3Fe at the meta-GGA SCAN level of DFT.

Geometry as extended XYZ:
```
5
Lattice="-1.895 0.116 -5.188 4.239 -3.151 -1.619 -2.993 -4.536 0.992" Properties=species:S:1:pos:R:3 pbc="T T T"
Fe -0.324 -3.785 -2.908
Zn -0.948 0.058 -2.594
Zn -1.496 -2.268 0.496
Zn 2.120 -1.575 -0.810
K 0.000 0.000 0.000
```

## Properties
The energy of formation comes out at 158 kJ per mole of atoms. For the size of the total moment, the calculation gives 3.32 μB/f.u. As for the final energy: -58.84 eV per cell.


Record 12
Computed, not measured: a PBEsol-optimized structure of KMg2Cl at the meta-GGA SCAN level of DFT.

Geometry as extended XYZ:
```
4
Lattice="-1.370 2.157 -2.938 1.224 -3.305 -2.997 -6.161 -2.933 0.719" Properties=species:S:1:pos:R:3 pbc="T T T"
K -2.469 -3.119 -1.139
Cl -3.766 -0.388 -1.109
Mg 0.000 0.000 0.000
Mg -0.073 -0.574 -2.967
```

## Properties
The calculation puts the formation energy (no corrections) at -585 meV per atom. For the size of the total moment, the calculation gives 0.00 μB/f.u. As for the final energy: -28.60 eV per cell.


Record 13
Computed, not measured: a PBEsol-optimized structure of SiMoPt3 at the meta-GGA SCAN level of DFT.

Geometry as extended XYZ:
```
5
Lattice="-0.131 3.783 2.861 -4.134 -1.494 1.786 2.324 -2.443 3.338" Properties=species:S:1:pos:R:3 pbc="T T T"
Pt 1.162 -1.222 1.669
Pt -0.065 1.892 1.430
Pt -2.067 -0.747 0.893
Mo 0.000 0.000 0.000
Si -0.970 -0.077 3.992
```

## Properties
The calculation puts the formation energy (no corrections) at 1350 meV per atom. For the size of the total moment, the calculation gives 0.00 μB/f.u. As for the final energy: -248.73 eV per cell.


Record 14
Computed, not measured: a PBEsol-optimized structure of Ca4MgW at the meta-GGA SCAN level of DFT.

Geometry as extended XYZ:
```
6
Lattice="6.312 0.000 0.000 3.156 5.466 0.000 3.156 1.822 5.154" Properties=species:S:1:pos:R:3 pbc="T T T"
Mg 9.468 5.466 3.865
Ca 7.899 2.728 1.929
Ca 4.725 2.728 1.929
Ca 6.312 3.644 4.520
Ca 6.312 5.476 1.929
W 0.000 0.000 0.000
```

## Properties
The energy of formation comes out at 105 kJ per mole of atoms. For the size of the total moment, the calculation gives 4.01 μB/f.u. As for the final energy: -106.76 eV per cell.


Record 15
Computed, not measured: a PBEsol-optimized structure of AlSb3Rh at the meta-GGA SCAN level of DFT.

Geometry as extended XYZ:
```
5
Lattice="5.089 0.000 0.000 0.000 5.089 0.000 0.000 0.000 5.089" Properties=species:S:1:pos:R:3 pbc="T T T"
Rh 0.000 0.000 0.000
Al 2.545 2.545 2.545
Sb 0.000 2.545 0.000
Sb 2.545 0.000 0.000
Sb 0.000 0.000 2.545
```

## Properties
The calculation puts the formation energy (no corrections) at 475 meV per atom. For the size of the total moment, the calculation gives 0.00 μB/f.u. As for the final energy: -150.93 eV per cell.


Record 16
Computed, not measured: a PBEsol-optimized structure of Sr2CuRhAu at the meta-GGA SCAN level of DFT.

Geometry as extended XYZ:
```
5
Lattice="-3.220 -2.497 -1.782 3.808 -3.608 -1.823 -0.422 -2.845 4.750" Properties=species:S:1:pos:R:3 pbc="T T T"
Rh -1.610 -1.249 -0.891
Au 0.083 -4.476 0.573
Cu 0.000 0.000 0.000
Sr 1.904 -1.804 -0.912
Sr -0.211 -1.423 2.375
```

## Properties
The energy of formation comes out at 4 kJ per mole of atoms. For the size of the total moment, the calculation gives 0.00 μB/f.u. As for the final energy: -162.48 eV per cell.


Record 17
Computed, not measured: a PBEsol-optimized structure of TaReW2 at the meta-GGA SCAN level of DFT.

Geometry as extended XYZ:
```
4
Lattice="4.468 0.000 0.000 2.234 3.870 0.000 2.234 1.290 3.648" Properties=species:S:1:pos:R:3 pbc="T T T"
Ta 2.234 1.290 0.912
W 0.000 0.000 0.000
W 6.703 3.870 2.736
Re 4.468 2.580 1.824
```

## Properties
The energy of formation comes out at -19 kJ per mole of atoms. For the size of the total moment, the calculation gives 0.00 μB/f.u. As for the final energy: -277.86 eV per cell.


Record 18
Computed, not measured: a PBEsol-optimized structure of K2CaTcTe at the meta-GGA SCAN level of DFT.

Geometry as extended XYZ:
```
5
Lattice="-4.307 -1.522 -1.873 2.969 -2.304 -4.955 0.654 -5.449 2.926" Properties=species:S:1:pos:R:3 pbc="T T T"
K 1.485 -1.152 -2.477
K 0.327 -2.724 1.463
Te -0.342 -4.638 -1.951
Tc -2.153 -0.761 -0.937
Ca 0.000 0.000 0.000
```

## Properties
The calculation puts the formation energy (no corrections) at 856 meV per atom. For the size of the total moment, the calculation gives 3.00 μB/f.u. As for the final energy: -94.35 eV per cell.


Record 19
Computed, not measured: a PBEsol-optimized structure of RbFe2BW at the meta-GGA SCAN level of DFT.

Geometry as extended XYZ:
```
5
Lattice="4.173 0.000 0.000 0.000 4.173 0.000 0.000 0.000 4.335" Properties=species:S:1:pos:R:3 pbc="T T T"
Fe 2.087 0.000 0.000
Fe 0.000 2.087 0.000
B 0.000 0.000 0.000
Rb 2.087 2.087 2.167
W 0.000 0.000 2.167
```

## Properties
The energy of formation comes out at 136 kJ per mole of atoms. For the size of the total moment, the calculation gives 5.78 μB/f.u. As for the final energy: -127.06 eV per cell.


Record 20
Computed, not measured: a PBEsol-optimized structure of Na5CrO4 at the meta-GGA SCAN level of DFT.

Geometry as extended XYZ:
```
20
Lattice="-2.299 0.637 -4.910 -4.183 -5.631 1.228 -5.263 4.576 3.058" Properties=species:S:1:pos:R:3 pbc="T T T"
Na -7.291 -0.883 1.847
Na -5.248 1.866 1.248
Na -2.820 -2.614 -0.941
Na -3.255 0.133 0.090
Na -3.767 -0.023 -2.857
Na -5.908 -2.905 -2.228
Na -7.036 2.820 -0.957
Na -4.202 2.723 -1.826
Na -9.177 -0.063 -0.329
Na -5.297 -2.617 0.689
O -5.882 1.230 -2.482
O -5.282 3.949 0.114
O -7.002 0.737 0.176
O -4.866 -1.120 -1.065
O -7.652 -1.153 -1.963
O -3.553 -4.369 0.424
O -2.155 1.230 -1.702
O -1.140 -1.121 -0.285
Cr -6.340 -0.079 -1.311
Cr -0.682 0.189 -1.456
```

## Properties
The calculation puts the formation energy (no corrections) at -1641 meV per atom. For the size of the total moment, the calculation gives 2.66 μB/f.u. As for the final energy: -161.58 eV per cell.